1.
Entry from the Alexandria database: crystalline Ac3NiTe at its relaxed geometry (GGA-PBE).

extended XYZ file:
```
5
Lattice="-1.8816 -5.3411 0.7571 5.1459 -1.5365 1.9495 -1.6189 1.3239 5.3167" Properties=species:S:1:pos:R:3 pbc="T T T"
Ni 0.0000 0.0000 0.0000
Ac 2.5729 -0.7682 0.9747
Ac -0.8094 0.6620 2.6584
Ac -0.9408 -2.6706 0.3785
Te 0.8227 -2.7769 4.0116
```

Calculated values
**Space group**: No. 221


2.
Entry from the Alexandria database: crystalline Ac3NiTe at its relaxed geometry (GGA-PBE).

extended XYZ file:
```
10
Lattice="-1.6877 -3.1204 -2.4285 5.7838 2.4307 -7.1426 4.4860 -5.9673 4.5496" Properties=species:S:1:pos:R:3 pbc="T T T"
Ac 4.3653 -1.1901 -3.4072
Ac 4.2168 -5.4668 -1.6144
Ac 3.0353 -4.8078 2.1654
Ac 0.5955 -2.1492 -3.3604
Ac 5.5469 -1.8491 -7.1869
Ac 7.9866 -4.5078 -1.6611
Ni 2.3755 -1.2815 -5.7123
Ni 6.2066 -5.3754 0.6908
Te 5.8689 -4.1299 -4.4803
Te 2.7132 -2.5271 -0.5412
```

Calculated values
**Space group**: No. 11


Which structure is most stable, and how do the rest compare? From most to least stable: 2, 1.


1.
Entry from the Alexandria database: crystalline AcTh2Ni at its relaxed geometry (GGA-PBE).

extended XYZ file:
```
4
Lattice="3.9028 0.0000 0.0000 1.9514 3.3799 0.0000 1.9514 1.1266 9.4713" Properties=species:S:1:pos:R:3 pbc="T T T"
Ac 3.9028 2.2533 4.7588
Th 1.9514 1.1266 7.7929
Th 1.9514 1.1266 1.6469
Ni 3.9028 2.2533 0.0084
```

Calculated values
**Space group**: No. 160


2.
Entry from the Alexandria database: crystalline AcTh2Ni at its relaxed geometry (GGA-PBE).

extended XYZ file:
```
4
Lattice="-0.8829 -2.6930 -2.5075 -2.0630 -2.9842 1.0760 -9.8302 3.3266 -2.9668" Properties=species:S:1:pos:R:3 pbc="T T T"
Ni -6.3880 -1.1753 -2.1992
Ac 0.0000 0.0000 0.0000
Th -6.8281 1.5559 -2.1221
Th -5.9480 -3.9065 -2.2762
```

Calculated values
**Space group**: No. 166


Which structure is most stable, and how do the rest compare? From most to least stable: 1, 2.


1.
Entry from the Alexandria database: crystalline AcThNi2 at its relaxed geometry (GGA-PBE).

extended XYZ file:
```
4
Lattice="-3.1459 2.4026 -0.8210 -2.9636 0.4478 2.7129 1.4347 6.4790 3.5099" Properties=species:S:1:pos:R:3 pbc="T T T"
Ac -2.3005 4.7234 2.7314
Th -2.6635 8.3390 4.7501
Ni 0.6471 5.2245 2.8566
Ni -1.2603 2.1864 1.2744
```

Calculated values
**Space group**: No. 160


2.
Entry from the Alexandria database: crystalline AcThNi2 at its relaxed geometry (GGA-PBE).

extended XYZ file:
```
4
Lattice="-3.2689 -1.2251 0.8719 1.4716 -2.1780 2.4571 -0.6200 5.1966 4.9776" Properties=species:S:1:pos:R:3 pbc="T T T"
Ni -0.4991 4.1836 4.0072
Ni -0.1209 1.0130 0.9703
Ac -1.2086 0.8968 4.1533
Th -0.8986 -1.7015 1.6645
```

Calculated values
**Space group**: No. 123


3.
Entry from the Alexandria database: crystalline AcThNi2 at its relaxed geometry (GGA-PBE).

extended XYZ file:
```
4
Lattice="5.0712 0.0000 0.0000 2.5356 4.3918 0.0000 2.5356 1.4639 4.1406" Properties=species:S:1:pos:R:3 pbc="T T T"
Ni 2.5356 1.4639 1.0352
Ni 7.6068 4.3918 3.1055
Ac 5.0712 2.9278 2.0703
Th 0.0000 0.0000 0.0000
```

Calculated values
**Space group**: No. 225


Which structure is most stable, and how do the rest compare? From most to least stable: 2, 1, 3.


1.
Entry from the Alexandria database: crystalline Ac4TlNi at its relaxed geometry (GGA-PBE).

extended XYZ file:
```
24
Lattice="-4.1820 -4.6309 8.5268 2.7913 3.2249 9.6669 -6.9118 5.2625 6.0146" Properties=species:S:1:pos:R:3 pbc="T T T"
Ac -3.3519 1.5569 9.7735
Ac -4.9624 -0.2264 13.0572
Ac -2.2770 2.7989 13.4962
Ac -6.0136 3.5835 12.0897
Ac -7.2792 4.1634 15.8349
Ac -5.1746 1.6213 20.4776
Ac -3.5804 3.3866 17.2272
Ac -8.8734 2.3981 19.0853
Ac -6.2386 0.3920 16.7925
Ac -6.2151 5.3927 19.5199
Ac -5.8790 4.0151 8.2927
Ac -2.4235 -0.1586 15.9156
Ac 0.1941 2.7398 10.5787
Ac -8.4966 1.1167 13.6296
Ac -4.1705 -2.1771 9.8651
Ac -4.1320 6.0336 14.3432
Tl -1.4105 0.6552 4.1127
Tl -2.7506 -0.8288 6.8451
Tl -0.5160 1.6886 7.2104
Tl -3.6253 2.3415 6.0401
Ni -5.0433 2.3426 14.7053
Ni -3.2459 4.3330 11.0405
Ni -6.2431 0.9565 10.5505
Ni -2.0727 0.0808 12.1203
```

Calculated values
**Space group**: No. 216


2.
Entry from the Alexandria database: crystalline Ac4TlNi at its relaxed geometry (GGA-PBE).

extended XYZ file:
```
6
Lattice="5.3626 0.0000 0.0000 0.0000 5.3626 0.0000 0.0000 0.0000 7.9581" Properties=species:S:1:pos:R:3 pbc="T T T"
Ac 2.6813 0.0000 5.7680
Ac 0.0000 2.6813 5.7680
Ac 2.6813 0.0000 2.1901
Ac 0.0000 2.6813 2.1901
Tl 0.0000 0.0000 0.0000
Ni 2.6813 2.6813 3.9791
```

Calculated values
**Space group**: No. 123


Which structure is most stable, and how do the rest compare? From most to least stable: 1, 2.


1.
Entry from the Alexandria database: crystalline Ac5Tl2Ni2 at its relaxed geometry (GGA-PBE).

extended XYZ file:
```
18
Lattice="9.2851 0.0000 -3.0428 -0.7106 6.5646 -2.1684 -1.6597 -0.3493 10.6238" Properties=species:S:1:pos:R:3 pbc="T T T"
Ac 6.3865 4.9290 -2.7588
Ac 0.2445 3.9094 7.3050
Ac 7.5024 1.6467 -1.9238
Ac -0.1609 0.6271 8.6384
Ac 5.1576 5.3148 3.4940
Ac 1.7721 0.7640 1.9638
Ac 2.9085 2.0325 5.4317
Ac 4.0211 4.0463 0.0261
Ac 6.8911 1.6044 2.1310
Ac -0.0061 4.8868 3.1905
Tl 6.2813 2.5754 5.3424
Tl 0.6083 3.8733 -0.0069
Tl 2.3861 5.8577 5.4183
Tl 4.5035 0.5910 -0.0827
Ni -0.6271 5.7932 -1.9136
Ni 4.3708 2.5109 -2.3508
Ni 6.6337 4.8680 1.0216
Ni 0.2554 1.5857 4.3124
```

Calculated values
**Space group**: No. 46


2.
Entry from the Alexandria database: crystalline Ac5Tl2Ni2 at its relaxed geometry (GGA-PBE).

extended XYZ file:
```
18
Lattice="9.3164 0.0000 0.0000 0.0000 7.5521 0.0000 0.0000 -3.7760 8.4886" Properties=species:S:1:pos:R:3 pbc="T T T"
Ac 0.0000 0.0000 0.0000
Ac 4.6582 3.7760 0.0000
Ac 7.6654 4.8933 2.0388
Ac 1.6511 2.6587 2.0388
Ac 3.0072 6.4348 2.0388
Ac 6.3093 1.1173 2.0388
Ac 1.6511 -1.1173 6.4497
Ac 7.6654 1.1173 6.4497
Ac 6.3093 -2.6587 6.4497
Ac 3.0072 2.6587 6.4497
Tl 0.0000 0.0000 3.6091
Tl 4.6582 3.7760 3.6091
Tl 0.0000 3.7760 4.8795
Tl 4.6582 0.0000 4.8795
Ni 5.5541 6.6039 0.0000
Ni 3.7623 0.9481 0.0000
Ni 0.8959 4.7241 0.0000
Ni 8.4205 2.8279 0.0000
```

Calculated values
**Space group**: No. 64


Which structure is most stable, and how do the rest compare? From most to least stable: 2, 1.


1.
Entry from the Alexandria database: crystalline Ac4Tl2Ni at its relaxed geometry (GGA-PBE).

extended XYZ file:
```
14
Lattice="6.7254 0.0000 -0.7706 0.0000 7.4504 0.0000 -3.3635 0.0000 10.3659" Properties=species:S:1:pos:R:3 pbc="T T T"
Ac 2.3618 3.7471 2.2634
Ac -2.3256 5.5878 9.2363
Ac 5.6874 1.8626 0.3589
Ac 2.3618 7.4285 2.2634
Ac 4.1248 1.8626 5.5413
Ac 1.0000 0.0219 7.3318
Ac 1.0000 3.7033 7.3318
Ac -0.7629 5.5878 4.0539
Tl 4.4185 5.5878 -0.0398
Tl -1.0567 1.8626 9.6350
Tl 0.2458 1.8626 4.3760
Tl 3.1160 5.5878 5.2192
Ni 0.2354 5.5878 1.5028
Ni 3.1264 1.8626 8.0925
```

Calculated values
**Space group**: No. 11


2.
Entry from the Alexandria database: crystalline Ac4Tl2Ni at its relaxed geometry (GGA-PBE).

extended XYZ file:
```
7
Lattice="-4.2438 -1.3612 -2.0404 -2.4193 -5.7851 3.0039 -6.0896 2.3418 5.2158" Properties=species:S:1:pos:R:3 pbc="T T T"
Ac -4.7524 0.2555 3.8265
Ac -8.0002 -5.0600 2.3528
Ac -2.4451 -1.8480 0.4309
Ac -10.3076 -2.9565 5.7485
Tl -7.0381 -2.5738 4.5806
Tl -5.7145 -2.2307 1.5987
Ni 0.0000 0.0000 0.0000
```

Calculated values
**Space group**: No. 12


Which structure is most stable, and how do the rest compare? From most to least stable: 2, 1.